# 1
DFT (PBE) results for a relaxed structure of Sr2ZrCo.

Cell lengths 4.4210, 4.4210, 10.8467 Å; angles 90.00, 90.00, 90.00 degrees
Space group I4/mmm (No. 139)
One atom of each set of equivalent atoms:
Sr: 0.0000 0.5000 0.2500 [4 per cell]
Zr: 0.0000 0.0000 0.0000 [2 per cell]
Co: 0.0000 0.0000 0.5000 [2 per cell]

Values from the calculation:
Size of the total moment = 0.2 μB per formula unit
Relative energy among the computed polymorphs = 653 meV per atom
Crystal system = tetragonal
Formation energy = 79 kJ per mole of atoms

***

# 2
DFT (PBE) results for a relaxed structure of Cu3PbAu.

Cell lengths 4.9022, 4.9022, 4.9022 Å; angles 90.00, 90.00, 90.00 degrees
Space group Pm-3m (No. 221)
One atom of each set of equivalent atoms:
Cu: 0.0000 0.0000 0.5000 [3 per cell]
Pb: 0.0000 0.0000 0.0000 [1 per cell]
Au: 0.5000 0.5000 0.5000 [1 per cell]

Values from the calculation:
Size of the total moment = 0.0 μB per formula unit
Relative energy among the computed polymorphs = 476 meV per atom
Crystal system = cubic
Formation energy = 100 kJ per mole of atoms

***

# 3
DFT (PBE) results for a relaxed structure of YGa5Au7.

Cell lengths 5.6473, 9.3940, 9.0942 Å; angles 90.00, 90.00, 90.00 degrees
Space group Imm2 (No. 44)
One atom of each set of equivalent atoms:
Y: 0.0000 0.0000 0.0000 [2 per cell]
Ga: 0.0000 0.5000 0.2480 [2 per cell]
Ga: 0.2431 0.2562 0.7366 [8 per cell]
Au: 0.0000 0.0000 0.3287 [2 per cell]
Au: 0.0000 0.0000 0.6779 [2 per cell]
Au: 0.0000 0.3089 0.4736 [4 per cell]
Au: 0.0000 0.3323 0.9999 [4 per cell]
Au: 0.0000 0.5000 0.7195 [2 per cell]

Values from the calculation:
Size of the total moment = 0.0 μB per formula unit
Crystal system = orthorhombic
Formation energy = -28 kJ per mole of atoms

***

Number 1: E -31.5 eV/cell. Number 2: E -14.1 eV/cell. Number 3: E -96.5 eV/cell.